# 1
Below is crystalline VI2Br at its relaxed geometry, with properties calculated at the PBE level.

Results
- Uncorrected energy: -64.4 eV/cell
- Volume: 129.7 Å³/f.u.
- Energy relative to the lowest polymorph listed for this composition: 0.000 eV per atom

CIF file:
```
data_VI2Br
_chemical_formula_sum 'V4 I8 Br4'
_cell_length_a 7.0600
_cell_length_b 6.4312
_cell_length_c 11.4265
_cell_angle_alpha 90.00
_cell_angle_beta 90.00
_cell_angle_gamma 90.00
_space_group_name_H-M_alt 'P n n a'
_space_group_IT_number 52
loop_
_space_group_symop_operation_xyz
'x,y,z'
'-x,-y,-z'
'-x+1/2,-y,z'
'x+1/2,y,-z'
'x,-y+1/2,-z+1/2'
'-x,y+1/2,z+1/2'
'-x+1/2,y+1/2,-z+1/2'
'x+1/2,-y+1/2,z+1/2'
loop_
_atom_site_label
_atom_site_type_symbol
_atom_site_fract_x
_atom_site_fract_y
_atom_site_fract_z
V1 V 0.2500 0.0000 0.0948
I1 I 0.0753 0.2329 0.9217
Br1 Br 0.1119 0.2500 0.2500
```


# 2
Below is crystalline YOs3Cl at its relaxed geometry, with properties calculated at the PBE level.

Results
- Uncorrected energy: -36.0 eV/cell
- Volume: 88.4 Å³/f.u.
- Energy relative to the lowest polymorph listed for this composition: 0.000 eV per atom

CIF file:
```
data_YOs3Cl
_chemical_formula_sum 'Y1 Os3 Cl1'
_cell_length_a 4.4551
_cell_length_b 4.4551
_cell_length_c 4.4551
_cell_angle_alpha 90.00
_cell_angle_beta 90.00
_cell_angle_gamma 90.00
_space_group_name_H-M_alt 'P m -3 m'
_space_group_IT_number 221
_space_group_name_Hall '-P 4 2 3'
loop_
_atom_site_label
_atom_site_type_symbol
_atom_site_fract_x
_atom_site_fract_y
_atom_site_fract_z
Y1 Y 0.0000 0.0000 0.0000
Os1 Os 0.0000 0.5000 0.5000
Cl1 Cl 0.5000 0.5000 0.5000
```